Model A:
Computed, not measured: crystalline PrYCo at its relaxed geometry at the PBE level of DFT.

abc: 3.824 6.088 7.213
angles: 89.61 74.63 71.69
Site moments in Bohr magnetons follow the coordinates.
Fractional positions:
Co  0.986  0.893  0.135  0.08
Co  0.014  0.107  0.865  0.08
Y  0.292  0.288  0.129  0.00
Pr  0.419  0.767  0.395  0.00
Pr  0.581  0.233  0.605  0.00
Y  0.708  0.712  0.871  0.00

Output
**Space group**: C2/m (12)

---

Model B:
Computed, not measured: crystalline PrYCo at its relaxed geometry at the PBE level of DFT.

abc: 6.290 3.969 3.969
angles: 120.00 90.00 90.00
Fractional positions:
Y  0.230  0.333  0.667
Pr  0.766  0.667  0.333
Co  0.004  0.000  0.000

Output
**Space group**: P3m1 (156)

---

Model C:
Computed, not measured: crystalline PrYCo at its relaxed geometry at the PBE level of DFT.

abc: 4.795 4.795 4.795
angles: 60.00 60.00 60.00
Fractional positions:
Pr  0.000  0.000  0.000
Y  0.500  0.500  0.500
Co  0.250  0.250  0.250

Output
**Space group**: F-43m (216)

---

model A has the most favorable energy; the next structure is 88 meV/atom above.

---

Model A:
Computed, not measured: crystalline PrYCo at its relaxed geometry at the PBE level of DFT.

abc: 6.937 7.122 7.240
angles: 90.00 90.00 119.14
Fractional positions:
Co  0.594  0.188  0.543
Y  0.713  0.925  0.750
Pr  0.799  0.598  0.388
Y  0.213  0.925  0.750
Pr  0.701  0.402  0.888
Co  0.094  0.188  0.957
Co  0.906  0.812  0.043
Y  0.287  0.075  0.250
Pr  0.299  0.598  0.112
Co  0.406  0.812  0.457
Pr  0.201  0.402  0.612
Y  0.787  0.075  0.250

Output
**Space group**: Cmce (64)

---

Model B:
Computed, not measured: crystalline PrYCo at its relaxed geometry at the PBE level of DFT.

abc: 3.445 3.445 6.949
angles: 104.35 104.35 90.00
Site moments in Bohr magnetons follow the coordinates.
Fractional positions:
Pr  0.036  0.036  0.073  -0.06
Co  0.672  0.672  0.344  0.95
Y  0.292  0.292  0.583  -0.07

Output
**Space group**: I4mm (107)

---

model A has the most favorable energy; the next structure is 67 meV/atom above.

---

Model A:
Computed, not measured: crystalline Pr2YCo at its relaxed geometry at the PBE level of DFT.

abc: 3.871 3.871 9.546
angles: 78.30 78.30 60.00
Site moments in Bohr magnetons follow the coordinates.
Fractional positions:
Pr  0.275  0.275  0.175  0.02
Pr  0.058  0.058  0.825  0.02
Y  0.501  0.501  0.498  0.13
Co  0.666  0.666  0.001  0.03

Output
**Space group**: R3m (160)

---

Model B:
Computed, not measured: crystalline Pr2YCo at its relaxed geometry at the PBE level of DFT.

abc: 3.689 3.689 10.755
angles: 80.13 80.13 60.00
Fractional positions:
Co  0.500  0.500  0.500
Pr  0.888  0.888  0.336
Y  0.000  0.000  0.000
Pr  0.112  0.112  0.664

Output
**Space group**: R-3m (166)

---

model A has the most favorable energy; the next structure is 153 meV/atom above.